No. 1
This record from Alexandria via LeMat-Bulk describes a geometry-optimized Pm12Ho5Al2 structure. The functional is PBE-GGA.

The space group is C2/m (No. 12) and the conventional cell measures 17.8418, 8.0470 and 8.9590 Å, with angles of 90.00, 108.39 and 90.00 degrees. The distinct sites, in fractional coordinates, are Pm at (0.0205, 0.0000, 0.1922), Pm at (0.0489, 0.5000, 0.6691), Pm at (0.1388, 0.2998, 0.3683), Pm at (0.1534, 0.2659, 0.9704), Ho at (0.0000, 0.5000, 0.0000), Ho at (0.1849, 0.0000, 0.6691), Ho at (0.2481, 0.5000, 0.7200) and Al at (0.0000, 0.1614, 0.5000).

As for the energy relative to the elements: 0.061 eV per atom.

---

No. 2
This record from Alexandria via LeMat-Bulk describes a geometry-optimized TmSiGe2 structure. The functional is PBE-GGA.

The space group is P4/mmm (No. 123) and the conventional cell measures 4.2975, 4.2975 and 4.1103 Å, with angles of 90.00, 90.00 and 90.00 degrees. The distinct sites, in fractional coordinates, are Tm at (0.0000, 0.0000, 0.0000), Si at (0.5000, 0.5000, 0.0000) and Ge at (0.0000, 0.5000, 0.5000).

As for the raw formation energy: -1.14 eV per formula unit.

---

No. 3
This record from Alexandria via LeMat-Bulk describes a geometry-optimized La4IrAu structure. The functional is PBE-GGA.

The space group is P2_1/m (No. 11) and the conventional cell measures 6.5445, 7.1985 and 8.2597 Å, with angles of 90.00, 108.92 and 90.00 degrees. The distinct sites, in fractional coordinates, are La at (0.0090, 0.0037, 0.2329), La at (0.4292, 0.2500, 0.6213), La at (0.4338, 0.2500, 0.0954), Ir at (0.2364, 0.7500, 0.0604) and Au at (0.2171, 0.7500, 0.5544).

As for the energy relative to the elements: -0.579 eV per atom.

---

No. 4
This record from Alexandria via LeMat-Bulk describes a geometry-optimized BaBe2Re structure. The functional is PBE-GGA.

The space group is P2/m (No. 10) and the conventional cell measures 3.1422, 3.1673 and 6.9623 Å, with angles of 90.00, 90.42 and 90.00 degrees. The distinct sites, in fractional coordinates, are Ba at (0.0000, 0.0000, 0.0000), Be at (0.4994, 0.5000, 0.3569) and Re at (0.0000, 0.0000, 0.5000).

As for the energy relative to the elements: 0.421 eV per atom.

---

Number 1: electronic total energy -4.538 eV per atom. Number 2: electronic total energy -5.069 eV per atom. Number 3: electronic total energy -5.888 eV per atom. Number 4: electronic total energy -5.035 eV per atom.